First-principles (GGA-PBE) data for a relaxed structure of Nb2In, as listed in Alexandria.

Computed properties:
Space group: Fd-3m
E above lowest polymorph (kcal/mol of atoms): 5.811
Size of the total moment (μB/f.u.): 0.00
DOS at the Fermi energy (states/eV per atom): 1.059
Total energy (eV/atom): -7.37

Cell lengths 5.5594, 5.5594, 5.5594 Å; angles 60.00, 60.00, 60.00 degrees
Last column: nearest neighbours and their distance in Å.
Positions (direct):
Nb1 0.1250 0.6250 0.6250  6 Nb 2.78
Nb2 0.6250 0.1250 0.6250  6 Nb 2.78
Nb3 0.6250 0.6250 0.6250  6 Nb 2.78
Nb4 0.6250 0.6250 0.1250  6 Nb 2.78
In1 0.0000 0.0000 0.0000  12 Nb 3.26, 4 In 3.40
In2 0.2500 0.2500 0.2500  12 Nb 3.26, 4 In 3.40



First-principles (GGA-PBE) data for a relaxed structure of NbIn, as listed in Alexandria.

Computed properties:
Space group: Pm-3n
Size of the total moment (μB/f.u.): 0.00
DOS at the Fermi energy (states/eV per atom): 0.798
Total energy (eV/atom): -4.52

Cell lengths 7.7384, 7.7384, 7.7384 Å; angles 90.00, 90.00, 90.00 degrees
Last column: nearest neighbours and their distance in Å.
Positions (direct):
Nb1 0.2500 0.5000 0.0000  4 In 2.74
Nb2 0.7500 0.5000 0.0000  4 In 2.74
Nb3 0.5000 0.0000 0.2500  4 In 2.74
Nb4 0.5000 0.0000 0.7500  4 In 2.74
Nb5 0.0000 0.2500 0.5000  4 In 2.74
Nb6 0.0000 0.7500 0.5000  4 In 2.74
In1 0.2500 0.0000 0.5000  4 Nb 2.74
In2 0.7500 0.0000 0.5000  4 Nb 2.74
In3 0.0000 0.5000 0.2500  4 Nb 2.74
In4 0.0000 0.5000 0.7500  4 Nb 2.74
In5 0.5000 0.2500 0.0000  4 Nb 2.74
In6 0.5000 0.7500 0.0000  4 Nb 2.74



Which formula does entry 1 have? Nb2In



Look up the DOS at the Fermi energy of the first one. 1.059 states/eV per atom



size of the total moment of number 2 (NbIn)? 0.00 μB/f.u.



What is the size of the total moment in the second record? 0.00 μB/f.u.